a | An optimized crystal structure of TcPtN2, computed with PBE.

a = 4.7396 Å, b = 4.7396 Å, c = 5.6696 Å
α = 65.29°, β = 65.29°, γ = 90.00°
Closest atoms and distances in Å follow each position.
Fractional coordinates of all 8 atoms:
Tc 0.5000 0.5000 0.0000  4 N 1.93
Tc 0.2500 0.7500 0.5000  4 N 1.93
Pt 0.0000 0.0000 0.0000  4 N 2.13
Pt 0.7500 0.2500 0.5000  4 N 2.13
N 0.5887 0.1250 0.2500  2 Tc 1.93, 2 Pt 2.13
N 0.1613 0.6250 0.2500  2 Tc 1.93, 2 Pt 2.13
N 0.3750 0.4113 0.7500  2 Tc 1.93, 2 Pt 2.13
N 0.8750 0.8387 0.7500  2 Tc 1.93, 2 Pt 2.13

Results
* SG: I-42d, No. 122
* size of the total moment: 0.0 μB/cell

=====

b | An optimized crystal structure of TcPtN2, computed with PBE.

a = 3.8896 Å, b = 3.8896 Å, c = 3.8896 Å
α = 60.00°, β = 60.00°, γ = 60.00°
Closest atoms and distances in Å follow each position.
Fractional coordinates of all 4 atoms:
Tc 0.0000 0.0000 0.0000  8 N 2.38
Pt 0.5000 0.5000 0.5000  8 N 2.38
N 0.2500 0.2500 0.2500  4 Pt 2.38, 4 Tc 2.38
N 0.7500 0.7500 0.7500  4 Pt 2.38, 4 Tc 2.38

Results
* SG: Fm-3m, No. 225
* size of the total moment: 0.0 μB/cell

=====

Stability check: which of them is least stable? b.

=====

a | An optimized crystal structure of TcTePtN2, computed with PBE.

a = 3.7705 Å, b = 3.7705 Å, c = 7.7979 Å
α = 90.00°, β = 90.00°, γ = 90.00°
Closest atoms and distances in Å follow each position.
Fractional coordinates of all 5 atoms:
Te 0.0000 0.0000 0.5000  4 Tc 2.67
Tc 0.5000 0.5000 0.5000  4 Te 2.67
Pt 0.0000 0.0000 0.0000  4 N 1.89
N 0.0000 0.5000 0.0000  2 Pt 1.89
N 0.5000 0.0000 0.0000  2 Pt 1.89

Results
* SG: P4/mmm, No. 123
* size of the total moment: 2.4 μB/cell

=====

b | An optimized crystal structure of TcTePtN2, computed with PBE.

a = 3.8125 Å, b = 3.8125 Å, c = 5.9538 Å
α = 90.00°, β = 90.00°, γ = 90.00°
Closest atoms and distances in Å follow each position.
Fractional coordinates of all 5 atoms:
Te 0.0000 0.0000 0.5000  4 Pt 2.70, 2 Tc 2.98
Tc 0.0000 0.0000 0.0000  4 N 1.91
Pt 0.5000 0.5000 0.5000  4 Te 2.70
N 0.0000 0.5000 0.0000  2 Tc 1.91
N 0.5000 0.0000 0.0000  2 Tc 1.91

Results
* SG: P4/mmm, No. 123
* size of the total moment: 0.0 μB/cell

=====

Stability check: which of them is least stable? a.

=====

a | An optimized crystal structure of Te3PtN, computed with PBE.

a = 5.2582 Å, b = 5.2582 Å, c = 5.2582 Å
α = 90.00°, β = 90.00°, γ = 90.00°
Closest atoms and distances in Å follow each position.
Fractional coordinates of all 5 atoms:
Te 0.0000 0.5000 0.0000  2 Pt 2.63
Te 0.0000 0.0000 0.5000  2 Pt 2.63
Te 0.5000 0.0000 0.0000  2 Pt 2.63
Pt 0.0000 0.0000 0.0000  6 Te 2.63
N 0.5000 0.5000 0.5000  12 Te 3.72

Results
* SG: Pm-3m, No. 221
* size of the total moment: 0.0 μB/cell

=====

b | An optimized crystal structure of Te3PtN, computed with PBE.

a = 4.6920 Å, b = 4.6920 Å, c = 4.6920 Å
α = 90.00°, β = 90.00°, γ = 90.00°
Closest atoms and distances in Å follow each position.
Fractional coordinates of all 5 atoms:
Te 0.0000 0.5000 0.0000  2 N 2.35
Te 0.0000 0.0000 0.5000  2 N 2.35
Te 0.5000 0.0000 0.0000  2 N 2.35
Pt 0.5000 0.5000 0.5000  12 Te 3.32
N 0.0000 0.0000 0.0000  6 Te 2.35

Results
* SG: Pm-3m, No. 221
* size of the total moment: 0.0 μB/cell

=====

Stability check: which of them is least stable? a.

=====

a | An optimized crystal structure of TePt2N, computed with PBE.

a = 4.4577 Å, b = 4.4577 Å, c = 4.4577 Å
α = 60.00°, β = 60.00°, γ = 60.00°
Closest atoms and distances in Å follow each position.
Fractional coordinates of all 4 atoms:
Te 0.5000 0.5000 0.5000  8 Pt 2.73
Pt 0.2500 0.2500 0.2500  4 Te 2.73, 4 N 2.73
Pt 0.7500 0.7500 0.7500  4 Te 2.73, 4 N 2.73
N 0.0000 0.0000 0.0000  8 Pt 2.73

Results
* SG: Fm-3m, No. 225
* size of the total moment: 0.0 μB/cell

=====

b | An optimized crystal structure of TePt2N, computed with PBE.

a = 4.9035 Å, b = 4.9035 Å, c = 7.0960 Å
α = 69.79°, β = 69.79°, γ = 90.00°
Closest atoms and distances in Å follow each position.
Fractional coordinates of all 8 atoms:
Te 0.0000 0.0000 0.0000  4 Pt 2.71
Te 0.7500 0.2500 0.5000  4 Pt 2.71
Pt 0.4952 0.1250 0.2500  2 N 2.06
Pt 0.2548 0.6250 0.2500  2 N 2.06
Pt 0.3750 0.5048 0.7500  2 N 2.06
Pt 0.8750 0.7452 0.7500  2 N 2.06
N 0.5000 0.5000 0.0000  4 Pt 2.06
N 0.2500 0.7500 0.5000  4 Pt 2.06

Results
* SG: I-42d, No. 122
* size of the total moment: 0.0 μB/cell

=====

Stability check: which of them is least stable? a.

=====

a | An optimized crystal structure of VTe2PtN, computed with PBE.

a = 5.5576 Å, b = 5.5576 Å, c = 3.6707 Å
α = 90.00°, β = 90.00°, γ = 90.00°
Closest atoms and distances in Å follow each position.
Fractional coordinates of all 5 atoms:
N 0.0000 0.0000 0.5000  2 Pt 1.84
Te 0.0000 0.5000 0.0000  2 Pt 2.78
Te 0.5000 0.0000 0.0000  2 Pt 2.78
Pt 0.0000 0.0000 0.0000  2 N 1.84
V 0.5000 0.5000 0.5000  8 Te 3.33, 2 V 3.67

Results
* SG: P4/mmm, No. 123
* size of the total moment: 3.1 μB/cell

=====

b | An optimized crystal structure of VTe2PtN, computed with PBE.

a = 5.2745 Å, b = 5.2745 Å, c = 3.5674 Å
α = 90.00°, β = 90.00°, γ = 90.00°
Closest atoms and distances in Å follow each position.
Fractional coordinates of all 5 atoms:
N 0.0000 0.0000 0.5000  2 V 1.78
Te 0.0000 0.5000 0.0000  2 V 2.64
Te 0.5000 0.0000 0.0000  2 V 2.64
Pt 0.5000 0.5000 0.5000  8 Te 3.18
V 0.0000 0.0000 0.0000  2 N 1.78

Results
* SG: P4/mmm, No. 123
* size of the total moment: 0.7 μB/cell

=====

Stability check: which of them is least stable? a.

=====

a | An optimized crystal structure of VTePtN2, computed with PBE.

a = 3.8751 Å, b = 5.5716 Å, c = 3.8751 Å
α = 90.00°, β = 90.00°, γ = 90.00°
Closest atoms and distances in Å follow each position.
Fractional coordinates of all 5 atoms:
N 0.0000 0.0000 0.5000  2 Te 1.94
N 0.5000 0.0000 0.0000  2 Te 1.94
Te 0.0000 0.0000 0.0000  4 N 1.94
Pt 0.5000 0.5000 0.5000  4 V 2.74
V 0.0000 0.5000 0.0000  4 Pt 2.74, 2 Te 2.79

Results
* SG: P4/mmm, No. 123
* size of the total moment: 0.0 μB/cell

=====

b | An optimized crystal structure of VTePtN2, computed with PBE.

a = 3.7824 Å, b = 3.7824 Å, c = 8.3249 Å
α = 90.00°, β = 90.00°, γ = 90.00°
Closest atoms and distances in Å follow each position.
Fractional coordinates of all 5 atoms:
N 0.0000 0.5000 0.0000  2 Pt 1.89
N 0.5000 0.0000 0.0000  2 Pt 1.89
Te 0.0000 0.0000 0.5000  4 V 2.67
Pt 0.0000 0.0000 0.0000  4 N 1.89
V 0.5000 0.5000 0.5000  4 Te 2.67

Results
* SG: P4/mmm, No. 123
* size of the total moment: 2.9 μB/cell

=====

Stability check: which of them is least stable? a.

=====

a | An optimized crystal structure of ZnTe2PtN, computed with PBE.

a = 5.6467 Å, b = 5.6467 Å, c = 3.6677 Å
α = 90.00°, β = 90.00°, γ = 90.00°
Closest atoms and distances in Å follow each position.
Fractional coordinates of all 5 atoms:
Zn 0.5000 0.5000 0.5000  8 Te 3.37, 2 Zn 3.67
Te 0.0000 0.5000 0.0000  2 Pt 2.82
Te 0.5000 0.0000 0.0000  2 Pt 2.82
Pt 0.0000 0.0000 0.0000  2 N 1.83
N 0.0000 0.0000 0.5000  2 Pt 1.83

Results
* SG: P4/mmm, No. 123
* size of the total moment: 0.0 μB/cell

=====

b | An optimized crystal structure of ZnTe2PtN, computed with PBE.

a = 5.4321 Å, b = 5.4321 Å, c = 3.5202 Å
α = 90.00°, β = 90.00°, γ = 90.00°
Closest atoms and distances in Å follow each position.
Fractional coordinates of all 5 atoms:
Zn 0.0000 0.0000 0.0000  2 N 1.76
Te 0.0000 0.5000 0.0000  2 Zn 2.72
Te 0.5000 0.0000 0.0000  2 Zn 2.72
Pt 0.5000 0.5000 0.5000  8 Te 3.24, 2 Pt 3.52
N 0.0000 0.0000 0.5000  2 Zn 1.76

Results
* SG: P4/mmm, No. 123
* size of the total moment: 1.3 μB/cell

=====

Stability check: which of them is least stable? b.

=====

a | An optimized crystal structure of TiPtN2, computed with PBE.

a = 6.4302 Å, b = 6.4302 Å, c = 6.4302 Å
α = 26.75°, β = 26.75°, γ = 26.75°
Closest atoms and distances in Å follow each position.
Fractional coordinates of all 4 atoms:
N 0.8937 0.8937 0.8937  1 Pt 1.98, 3 Ti 2.05
N 0.1063 0.1063 0.1063  1 Pt 1.98, 3 Ti 2.05
Pt 0.0000 0.0000 0.0000  2 N 1.98
Ti 0.5000 0.5000 0.5000  6 N 2.05

Results
* SG: R-3m, No. 166
* size of the total moment: 0.0 μB/cell

=====

b | An optimized crystal structure of TiPtN2, computed with PBE.

a = 3.8751 Å, b = 3.8751 Å, c = 3.8751 Å
α = 60.00°, β = 60.00°, γ = 60.00°
Closest atoms and distances in Å follow each position.
Fractional coordinates of all 4 atoms:
N 0.2500 0.2500 0.2500  4 Pt 2.37, 4 Ti 2.37
N 0.7500 0.7500 0.7500  4 Pt 2.37, 4 Ti 2.37
Pt 0.5000 0.5000 0.5000  8 N 2.37
Ti 0.0000 0.0000 0.0000  8 N 2.37

Results
* SG: Fm-3m, No. 225
* size of the total moment: 0.0 μB/cell

=====

Stability check: which of them is least stable? b.